[1]
Tb6AgPd5 | PBE | optimized geometry

Calculated values
ΔE_f = -0.769 eV per atom
Calculated volume = 535 Å³/cell
Energy = -131.7 eV/cell
Energy above the most stable polymorph in this dataset = 0.00 kJ per mole of atoms

Cell lengths 15.8347, 7.0889, 5.0178 Å; angles 90.00, 108.33, 90.00 degrees
Last column: nearest neighbours and their distance in Å.
Space group C2/m (No. 12)
Asymmetric unit:
Tb  0.0000  0.2430  0.0000 x4  6 Pd 3.04-3.06, 2 Ag 3.10
Tb  0.1692  0.2464  0.6692 x8  7 Pd 3.04-3.09, 1 Ag 3.12
Ag  0.0000  0.5000  0.5000 x2  8 Tb 3.10-3.12
Pd  0.0000  0.0000  0.5000 x2  8 Tb 3.04-3.09
Pd  0.1631  0.5000  0.1624 x4  8 Tb 3.05-3.09
Pd  0.1680  0.0000  0.1679 x4  8 Tb 3.04-3.06

***

[2]
Tb5AgPd4 | PBE | optimized geometry

Calculated values
ΔE_f = -0.751 eV per atom
Calculated volume = 224 Å³/cell
Energy = -54.3 eV/cell

Cell lengths 3.5376, 3.5376, 17.8794 Å; angles 90.00, 90.00, 90.00 degrees
Last column: nearest neighbours and their distance in Å.
Space group P4/mmm (No. 123)
Asymmetric unit:
Tb  0.0000  0.0000  0.0000 x1  8 Pd 3.06
Tb  0.0000  0.0000  0.1969 x2  8 Pd 3.06-3.07
Tb  0.0000  0.0000  0.3930 x2  4 Pd 3.04, 4 Ag 3.15
Ag  0.5000  0.5000  0.5000 x1  8 Tb 3.15
Pd  0.5000  0.5000  0.0983 x2  8 Tb 3.06
Pd  0.5000  0.5000  0.2965 x2  8 Tb 3.04-3.07

***

[3]
Tb3AgPd2 | PBE | optimized geometry

Calculated values
ΔE_f = -0.675 eV per atom
Calculated volume = 272 Å³/cell
Energy = -62.4 eV/cell
Energy above the most stable polymorph in this dataset = 0.28 kJ per mole of atoms

Cell lengths 5.0358, 5.0358, 12.3878 Å; angles 90.00, 90.00, 120.00 degrees
Last column: nearest neighbours and their distance in Å.
Space group P-3m1 (No. 164)
Asymmetric unit:
Tb  0.0000  0.0000  0.2428 x2  5 Pd 3.01-3.19, 3 Ag 3.10
Tb  0.3333  0.6667  0.4171 x2  4 Pd 3.04-3.08, 4 Ag 3.10-3.14
Tb  0.3333  0.6667  0.9227 x2  7 Pd 3.06-3.13, 1 Ag 3.13
Ag  0.3333  0.6667  0.6703 x2  8 Tb 3.10-3.14
Pd  0.0000  0.0000  0.0000 x1  8 Tb 3.01-3.06
Pd  0.0000  0.0000  0.5000 x1  8 Tb 3.08-3.19
Pd  0.3333  0.6667  0.1713 x2  8 Tb 3.04-3.13